[1]
! ZnSb2Mo | Alexandria via LeMat-Bulk | PBE-GGA | optimized geometry; values from VASP
&SYSTEM
  ibrav = 0, nat = 4, ntyp = 3
/
ATOMIC_SPECIES
Zn 65.41 Zn.upf
Sb 121.76 Sb.upf
Mo 95.94 Mo.upf
CELL_PARAMETERS angstrom
3.398 0.000 0.000
0.000 3.398 0.000
0.000 0.000 7.305
ATOMIC_POSITIONS crystal
Zn 0.000 0.000 0.000
Sb 0.500 0.500 0.285
Sb 0.500 0.500 0.715
Mo 0.000 0.000 0.500
! magnetic moment = 0.000 μB per atom
! ΔE_f (raw) = 0.205 eV per atom
! crystal system = tetragonal


[2]
! ZnSb2Mo | Alexandria via LeMat-Bulk | PBE-GGA | optimized geometry; values from VASP
&SYSTEM
  ibrav = 0, nat = 4, ntyp = 3
/
ATOMIC_SPECIES
Zn 65.41 Zn.upf
Sb 121.76 Sb.upf
Mo 95.94 Mo.upf
CELL_PARAMETERS angstrom
-2.059 2.059 4.834
2.059 -2.059 4.834
2.059 2.059 -4.834
ATOMIC_POSITIONS crystal
Zn 0.000 0.000 0.000
Sb 0.500 0.500 0.000
Sb 0.750 0.250 0.500
Mo 0.250 0.750 0.500
! magnetic moment = 0.418 μB per atom
! ΔE_f (raw) = 0.504 eV per atom
! crystal system = tetragonal


[3]
! ZnSb2Mo | Alexandria via LeMat-Bulk | PBE-GGA | optimized geometry; values from VASP
&SYSTEM
  ibrav = 0, nat = 4, ntyp = 3
/
ATOMIC_SPECIES
Zn 65.41 Zn.upf
Sb 121.76 Sb.upf
Mo 95.94 Mo.upf
CELL_PARAMETERS angstrom
4.742 0.000 0.000
0.000 4.742 0.000
0.000 0.000 3.497
ATOMIC_POSITIONS crystal
Zn 0.000 0.000 0.000
Sb 0.000 0.500 0.500
Sb 0.500 0.000 0.500
Mo 0.500 0.500 0.000
! magnetic moment = 0.000 μB per atom
! ΔE_f (raw) = 0.429 eV per atom
! crystal system = tetragonal


[4]
! ZnSb3Mo | Alexandria via LeMat-Bulk | PBE-GGA | optimized geometry; values from VASP
&SYSTEM
  ibrav = 0, nat = 5, ntyp = 3
/
ATOMIC_SPECIES
Zn 65.41 Zn.upf
Sb 121.76 Sb.upf
Mo 95.94 Mo.upf
CELL_PARAMETERS angstrom
5.155 0.000 0.000
0.000 5.155 0.000
0.000 0.000 5.155
ATOMIC_POSITIONS crystal
Zn 0.000 0.000 0.000
Sb 0.000 0.000 0.500
Sb 0.000 0.500 0.000
Sb 0.500 0.000 0.000
Mo 0.500 0.500 0.500
! magnetic moment = 0.708 μB per atom
! ΔE_f (raw) = 1.136 eV per atom
! crystal system = cubic


- What is the magnetic moment in the first record?
  0.000 μB per atom


- The lowest ΔE_f (raw) belongs to which entry?
  number 1


- What is the magnetic moment in the first record?
  0.000 μB per atom


Repeat the second record exactly.
! ZnSb2Mo | Alexandria via LeMat-Bulk | PBE-GGA | optimized geometry; values from VASP
&SYSTEM
  ibrav = 0, nat = 4, ntyp = 3
/
ATOMIC_SPECIES
Zn 65.41 Zn.upf
Sb 121.76 Sb.upf
Mo 95.94 Mo.upf
CELL_PARAMETERS angstrom
-2.059 2.059 4.834
2.059 -2.059 4.834
2.059 2.059 -4.834
ATOMIC_POSITIONS crystal
Zn 0.000 0.000 0.000
Sb 0.500 0.500 0.000
Sb 0.750 0.250 0.500
Mo 0.250 0.750 0.500
! magnetic moment = 0.418 μB per atom
! ΔE_f (raw) = 0.504 eV per atom
! crystal system = tetragonal